1.
Crystalline TcSe2BrCl at its relaxed geometry. Source: Alexandria via LeMat-Bulk, functional PBEsol.

Properties
Formation energy without anion corrections = 0.196 eV/atom
N(E_F) = 3.99 states/eV per cell
Calculated total energy = -4.3734 eV per atom
M_tot = 0.00 μB per atom

a b c (Å): 4.741 4.741 5.044
angles (deg): 90.00 90.00 90.00
Space group P4/mmm (No. 123)
Symmetry-distinct sites (fractional):
1 Tc 0.000 0.000 0.000 (multiplicity 1)
2 Se 0.000 0.500 0.000 (multiplicity 2)
3 Br 0.000 0.000 0.500 (multiplicity 1)
4 Cl 0.500 0.500 0.500 (multiplicity 1)


2.
Crystalline LiCo2Hg at its relaxed geometry. Source: Alexandria via LeMat-Bulk, functional PBEsol.

Properties
N(E_F) = 4.19 states/eV per cell
Calculated total energy = -4.0984 eV per atom
M_tot = 0.73 μB per atom

a b c (Å): 3.143 3.143 5.335
angles (deg): 90.00 90.00 90.00
Space group P4/mmm (No. 123)
Symmetry-distinct sites (fractional):
1 Li 0.000 0.000 0.000 (multiplicity 1)
2 Co 0.500 0.500 0.210 (multiplicity 2)
3 Hg 0.000 0.000 0.500 (multiplicity 1)


3.
Crystalline InAg2SbSe4 at its relaxed geometry. Source: Alexandria via LeMat-Bulk, functional PBEsol.

Properties
Formation energy without anion corrections = -0.246 eV/atom
N(E_F) = 4.64 states/eV per cell
Calculated total energy = -3.9416 eV per atom
M_tot = 0.00 μB per atom

a b c (Å): 5.597 5.597 11.313
angles (deg): 90.00 90.00 90.00
Space group I-4m2 (No. 119)
Symmetry-distinct sites (fractional):
1 In 0.000 0.000 0.000 (multiplicity 2)
2 Ag 0.000 0.000 0.500 (multiplicity 2)
3 Ag 0.000 0.500 0.250 (multiplicity 2)
4 Sb 0.000 0.500 0.750 (multiplicity 2)
5 Se 0.000 0.000 0.248 (multiplicity 4)
6 Se 0.000 0.500 0.002 (multiplicity 4)


4.
Crystalline BeCdTc at its relaxed geometry. Source: Alexandria via LeMat-Bulk, functional PBEsol.

Properties
N(E_F) = 9.31 states/eV per cell
Calculated total energy = -4.3118 eV per atom
Distance to the lowest polymorph of the same formula = 2.46 eV/f.u.
M_tot = 0.57 μB per atom

a b c (Å): 5.955 5.955 5.955
angles (deg): 90.00 90.00 90.00
Space group F-43m (No. 216)
Symmetry-distinct sites (fractional):
1 Be 0.000 0.000 0.000 (multiplicity 4)
2 Cd 0.000 0.000 0.500 (multiplicity 4)
3 Tc 0.250 0.250 0.750 (multiplicity 4)


5.
Crystalline CaPr2S4 at its relaxed geometry. Source: Alexandria via LeMat-Bulk, functional PBEsol.

Properties
Formation energy without anion corrections = -2.143 eV/atom
N(E_F) = 0.00 states/eV per cell
Calculated total energy = -6.4341 eV per atom
M_tot = 0.00 μB per atom

a b c (Å): 8.473 8.473 8.537
angles (deg): 90.00 90.00 90.00
Space group I-42d (No. 122)
Symmetry-distinct sites (fractional):
1 Ca 0.000 0.000 0.000 (multiplicity 4)
2 Pr 0.128 0.250 0.625 (multiplicity 8)
3 S 0.076 0.177 0.301 (multiplicity 16)


6.
Crystalline TaINO2 at its relaxed geometry. Source: Alexandria via LeMat-Bulk, functional PBEsol.

Properties
Formation energy without anion corrections = 1.253 eV/atom
N(E_F) = 3.32 states/eV per cell
Calculated total energy = -5.4156 eV per atom
M_tot = 0.27 μB per atom

a b c (Å): 3.998 3.998 3.997
angles (deg): 90.00 90.00 90.00
Space group P4/mmm (No. 123)
Symmetry-distinct sites (fractional):
1 Ta 0.000 0.000 0.000 (multiplicity 1)
2 I 0.500 0.500 0.000 (multiplicity 1)
3 N 0.500 0.500 0.500 (multiplicity 1)
4 O 0.000 0.500 0.500 (multiplicity 2)


7.
Crystalline RbHoS2 at its relaxed geometry. Source: Alexandria via LeMat-Bulk, functional PBEsol.

Properties
Formation energy without anion corrections = -1.887 eV/atom
N(E_F) = 0.00 states/eV per cell
Calculated total energy = -5.5727 eV per atom
M_tot = 0.00 μB per atom

a b c (Å): 3.9936 3.9936 22.6789
angles (deg): 90.00 90.00 120.00
Space group R-3m (No. 166, hexagonal axes)
Symmetry-distinct sites (fractional):
1 Rb 0.0000 0.0000 0.0000 (multiplicity 3)
2 Ho 0.0000 0.0000 0.5000 (multiplicity 3)
3 S 0.0000 0.0000 0.2309 (multiplicity 6)


8.
Crystalline LiSbI2 at its relaxed geometry. Source: Alexandria via LeMat-Bulk, functional PBEsol.

Properties
Formation energy without anion corrections = -0.267 eV/atom
N(E_F) = 4.66 states/eV per cell
Calculated total energy = -2.7818 eV per atom
M_tot = 0.00 μB per atom

a b c (Å): 7.972 7.972 7.624
angles (deg): 90.00 90.00 90.00
Space group I-42d (No. 122)
Symmetry-distinct sites (fractional):
1 Li 0.000 0.000 0.000 (multiplicity 4)
2 Sb 0.000 0.000 0.500 (multiplicity 4)
3 I 0.217 0.250 0.125 (multiplicity 8)


9.
Crystalline Rb2Pb2Cl at its relaxed geometry. Source: Alexandria via LeMat-Bulk, functional PBEsol.

Properties
Formation energy without anion corrections = -0.234 eV/atom
N(E_F) = 3.63 states/eV per cell
Calculated total energy = -2.6453 eV per atom
M_tot = 0.00 μB per atom

a b c (Å): 7.203 7.203 8.668
angles (deg): 90.00 90.00 90.00
Space group I4/mmm (No. 139)
Symmetry-distinct sites (fractional):
1 Rb 0.000 0.500 0.250 (multiplicity 4)
2 Pb 0.000 0.000 0.159 (multiplicity 4)
3 Cl 0.000 0.000 0.500 (multiplicity 2)


10.
Crystalline Cd2AgMo at its relaxed geometry. Source: Alexandria via LeMat-Bulk, functional PBEsol.

Properties
N(E_F) = 4.50 states/eV per cell
Calculated total energy = -3.9531 eV per atom
Distance to the lowest polymorph of the same formula = 0.09 eV/f.u.
M_tot = 0.09 μB per atom

a b c (Å): 2.786 5.025 10.174
angles (deg): 90.00 90.00 90.00
Space group Imm2 (No. 44)
Symmetry-distinct sites (fractional):
1 Cd 0.000 0.000 0.000 (multiplicity 2)
2 Cd 0.000 0.500 0.241 (multiplicity 2)
3 Ag 0.000 0.000 0.495 (multiplicity 2)
4 Mo 0.000 0.500 0.751 (multiplicity 2)


11.
Crystalline ZnFe2 at its relaxed geometry. Source: Alexandria via LeMat-Bulk, functional PBEsol.

Properties
N(E_F) = 10.36 states/eV per cell
Calculated total energy = -6.3977 eV per atom
M_tot = 1.46 μB per atom

a b c (Å): 9.534 2.485 6.098
angles (deg): 90.00 105.20 90.00
Space group Cm (No. 8)
Symmetry-distinct sites (fractional):
1 Zn 0.000 0.000 0.000 (multiplicity 2)
2 Zn 0.170 0.500 0.337 (multiplicity 2)
3 Fe 0.106 0.500 0.714 (multiplicity 2)
4 Fe 0.276 0.000 0.044 (multiplicity 2)
5 Fe 0.334 0.000 0.673 (multiplicity 2)
6 Fe 0.441 0.500 0.387 (multiplicity 2)


12.
Crystalline KZr2TaBe at its relaxed geometry. Source: Alexandria via LeMat-Bulk, functional PBEsol.

Properties
N(E_F) = 8.42 states/eV per cell
Calculated total energy = -6.0919 eV per atom
M_tot = 0.00 μB per atom

a b c (Å): 4.920 4.920 4.573
angles (deg): 90.00 90.00 90.00
Space group P4/mmm (No. 123)
Symmetry-distinct sites (fractional):
1 K 0.000 0.000 0.000 (multiplicity 1)
2 Zr 0.000 0.500 0.500 (multiplicity 2)
3 Ta 0.500 0.500 0.000 (multiplicity 1)
4 Be 0.500 0.500 0.500 (multiplicity 1)


13.
Crystalline CaSi2N2O2 at its relaxed geometry. Source: Alexandria via LeMat-Bulk, functional PBEsol.

Properties
Formation energy without anion corrections = -2.195 eV/atom
N(E_F) = 0.00 states/eV per cell
Calculated total energy = -8.0778 eV per atom
M_tot = 0.00 μB per atom

a b c (Å): 7.331 13.638 10.473
angles (deg): 90.00 101.97 90.00
Space group P2_1 (No. 4)
Symmetry-distinct sites (fractional):
1 Ca 0.081 0.000 0.194 (multiplicity 2)
2 Ca 0.082 0.569 0.447 (multiplicity 2)
3 Ca 0.255 0.503 0.143 (multiplicity 2)
4 Ca 0.257 0.066 0.884 (multiplicity 2)
5 Ca 0.411 0.011 0.551 (multiplicity 2)
6 Ca 0.412 0.558 0.800 (multiplicity 2)
7 Si 0.045 0.844 0.444 (multiplicity 2)
8 Si 0.046 0.724 0.691 (multiplicity 2)
9 Si 0.046 0.730 0.191 (multiplicity 2)
10 Si 0.047 0.840 0.938 (multiplicity 2)
11 Si 0.289 0.237 0.697 (multiplicity 2)
12 Si 0.289 0.338 0.444 (multiplicity 2)
13 Si 0.290 0.227 0.199 (multiplicity 2)
14 Si 0.290 0.338 0.952 (multiplicity 2)
15 Si 0.375 0.729 0.579 (multiplicity 2)
16 Si 0.377 0.842 0.333 (multiplicity 2)
17 Si 0.379 0.837 0.828 (multiplicity 2)
18 Si 0.381 0.732 0.082 (multiplicity 2)
19 N 0.136 0.753 0.555 (multiplicity 2)
20 N 0.137 0.817 0.308 (multiplicity 2)
21 N 0.143 0.811 0.807 (multiplicity 2)
22 N 0.144 0.759 0.061 (multiplicity 2)
23 N 0.194 0.242 0.337 (multiplicity 2)
24 N 0.194 0.321 0.092 (multiplicity 2)
25 N 0.195 0.249 0.838 (multiplicity 2)
26 N 0.195 0.327 0.584 (multiplicity 2)
27 N 0.472 0.746 0.744 (multiplicity 2)
28 N 0.473 0.819 0.497 (multiplicity 2)
29 N 0.475 0.818 0.992 (multiplicity 2)
30 N 0.476 0.758 0.245 (multiplicity 2)
31 O 0.078 0.956 0.973 (multiplicity 2)
32 O 0.079 0.615 0.230 (multiplicity 2)
33 O 0.102 0.611 0.727 (multiplicity 2)
34 O 0.105 0.955 0.485 (multiplicity 2)
35 O 0.240 0.449 0.902 (multiplicity 2)
36 O 0.242 0.125 0.648 (multiplicity 2)
37 O 0.263 0.446 0.376 (multiplicity 2)
38 O 0.265 0.120 0.129 (multiplicity 2)
39 O 0.397 0.616 0.539 (multiplicity 2)
40 O 0.397 0.957 0.300 (multiplicity 2)
41 O 0.426 0.948 0.787 (multiplicity 2)
42 O 0.427 0.620 0.048 (multiplicity 2)


14.
Crystalline LiFeP4O12 at its relaxed geometry. Source: Alexandria via LeMat-Bulk, functional PBEsol.

Properties
Formation energy without anion corrections = -1.987 eV/atom
N(E_F) = 18.33 states/eV per cell
Calculated total energy = -7.3807 eV per atom
Distance to the lowest polymorph of the same formula = 0.64 eV/f.u.
M_tot = 0.06 μB per atom

a b c (Å): 5.003 12.931 7.134
angles (deg): 90.00 99.32 90.00
Space group P2_1 (No. 4)
Symmetry-distinct sites (fractional):
1 Li 0.105 0.000 0.122 (multiplicity 2)
2 Fe 0.009 0.671 0.582 (multiplicity 2)
3 P 0.273 0.781 0.951 (multiplicity 2)
4 P 0.357 0.134 0.820 (multiplicity 2)
5 P 0.473 0.539 0.509 (multiplicity 2)
6 P 0.481 0.315 0.391 (multiplicity 2)
7 O 0.106 0.160 0.681 (multiplicity 2)
8 O 0.107 0.863 0.021 (multiplicity 2)
9 O 0.144 0.686 0.847 (multiplicity 2)
10 O 0.188 0.295 0.405 (multiplicity 2)
11 O 0.204 0.543 0.580 (multiplicity 2)
12 O 0.286 0.087 0.365 (multiplicity 2)
13 O 0.314 0.738 0.515 (multiplicity 2)
14 O 0.328 0.073 0.989 (multiplicity 2)
15 O 0.434 0.575 0.295 (multiplicity 2)
16 O 0.441 0.921 0.502 (multiplicity 2)
17 O 0.476 0.835 0.821 (multiplicity 2)
18 O 0.486 0.741 0.128 (multiplicity 2)


15.
Crystalline Pm3Al at its relaxed geometry. Source: Alexandria via LeMat-Bulk, functional PBEsol.

Properties
N(E_F) = 8.49 states/eV per cell
Calculated total energy = -5.0758 eV per atom
Distance to the lowest polymorph of the same formula = 0.00 eV/f.u.
M_tot = 0.00 μB per atom

a b c (Å): 6.9156 6.9156 5.3029
angles (deg): 90.00 90.00 120.00
Space group P6_3/mmc (No. 194)
Symmetry-distinct sites (fractional):
1 Pm 0.1774 0.3549 0.2500 (multiplicity 6)
2 Al 0.3333 0.6667 0.7500 (multiplicity 2)


16.
Crystalline ZrTlZn2 at its relaxed geometry. Source: Alexandria via LeMat-Bulk, functional PBEsol.

Properties
N(E_F) = 2.48 states/eV per cell
Calculated total energy = -3.7487 eV per atom
Distance to the lowest polymorph of the same formula = 0.70 eV/f.u.
M_tot = 0.00 μB per atom

a b c (Å): 3.139 4.239 5.780
angles (deg): 90.00 104.78 90.00
Space group Pm (No. 6)
Symmetry-distinct sites (fractional):
1 Zr 0.000 0.000 0.000 (multiplicity 1)
2 Tl 0.656 0.500 0.308 (multiplicity 1)
3 Zn 0.287 0.000 0.545 (multiplicity 1)
4 Zn 0.399 0.500 0.789 (multiplicity 1)


17.
Crystalline SrBP2O at its relaxed geometry. Source: Alexandria via LeMat-Bulk, functional PBEsol.

Properties
Formation energy without anion corrections = 1.765 eV/atom
N(E_F) = 4.93 states/eV per cell
Calculated total energy = -3.3731 eV per atom
M_tot = 0.45 μB per atom

a b c (Å): 5.495 5.495 4.326
angles (deg): 90.00 90.00 90.00
Space group P4/mmm (No. 123)
Symmetry-distinct sites (fractional):
1 Sr 0.000 0.000 0.000 (multiplicity 1)
2 B 0.500 0.500 0.500 (multiplicity 1)
3 P 0.000 0.500 0.000 (multiplicity 2)
4 O 0.000 0.000 0.500 (multiplicity 1)


18.
Crystalline Sc2SbAs at its relaxed geometry. Source: Alexandria via LeMat-Bulk, functional PBEsol.

Properties
Formation energy without anion corrections = -0.286 eV/atom
N(E_F) = 11.27 states/eV per cell
Calculated total energy = -6.0044 eV per atom
M_tot = 0.00 μB per atom

a b c (Å): 6.934 6.934 6.934
angles (deg): 90.00 90.00 90.00
Space group F-43m (No. 216)
Symmetry-distinct sites (fractional):
1 Sc 0.000 0.000 0.000 (multiplicity 4)
2 Sc 0.250 0.250 0.250 (multiplicity 4)
3 Sb 0.250 0.250 0.750 (multiplicity 4)
4 As 0.000 0.000 0.500 (multiplicity 4)


19.
Crystalline Nd2SeO2 at its relaxed geometry. Source: Alexandria via LeMat-Bulk, functional PBEsol.

Properties
Formation energy without anion corrections = -3.036 eV/atom
N(E_F) = 0.00 states/eV per cell
Calculated total energy = -7.9724 eV per atom
M_tot = 0.00 μB per atom

a b c (Å): 3.9650 3.9650 6.9774
angles (deg): 90.00 90.00 120.00
Space group P-3m1 (No. 164)
Symmetry-distinct sites (fractional):
1 Nd 0.3333 0.6667 0.2881 (multiplicity 2)
2 Se 0.0000 0.0000 0.0000 (multiplicity 1)
3 O 0.3333 0.6667 0.6260 (multiplicity 2)


20.
Crystalline LaHgAs2 at its relaxed geometry. Source: Alexandria via LeMat-Bulk, functional PBEsol.

Properties
N(E_F) = 2.72 states/eV per cell
Calculated total energy = -4.4552 eV per atom
M_tot = 0.00 μB per atom

a b c (Å): 3.722 3.722 6.569
angles (deg): 90.00 90.00 90.00
Space group P4mm (No. 99)
Symmetry-distinct sites (fractional):
1 La 0.000 0.000 0.000 (multiplicity 1)
2 Hg 0.500 0.500 0.698 (multiplicity 1)
3 As 0.000 0.000 0.447 (multiplicity 1)
4 As 0.500 0.500 0.272 (multiplicity 1)